Here is a relaxed structure of Rb2BaI7 from Alexandria. Energies are from GGA-PBE.

Cell and atoms, written as POSCAR:
```
Rb2BaI7
1.0
-4.9354 4.9354 6.2699
4.9354 -4.9354 6.2699
4.9354 4.9354 -6.2699
Rb Ba I
2 1 7
Cartesian
4.9354 0.0000 3.1350
0.0000 4.9354 3.1350
0.0000 0.0000 0.0000
2.3608 2.3608 0.0000
2.5746 -2.5746 6.2699
0.0000 0.0000 3.4076
0.0000 0.0000 6.2699
0.0000 0.0000 9.1322
-2.5746 2.5746 6.2699
2.5746 2.5746 6.2699
```

Energy relative to the elements, uncorrected = -9.0 eV per formula unit